Density functional theory data (PBE) for crystalline TaAlPbS2 at its relaxed geometry.

Cell: 4.6965 4.6965 5.9151 Å, 90.00 90.00 90.00°
Element x y z (fractional)
Ta 0.0000 0.0000 0.0000
Al 0.5000 0.5000 0.5000
Pb 0.0000 0.0000 0.5000
S 0.0000 0.5000 0.0000
S 0.5000 0.0000 0.0000

Computed properties:
* magnetization: 0.000 μB/atom
* raw formation energy: 7 meV per atom
* space group: No. 123
* E: -27.52 eV/cell

Density functional theory data (PBE) for crystalline AlTePb2S5 at its relaxed geometry.

Cell: 9.0555 9.0555 12.7246 Å, 90.00 90.00 153.21°
Element x y z (fractional)
Al 0.0521 0.9479 0.5000
Al 0.9479 0.0521 0.0000
Te 0.2858 0.7142 0.1449
Te 0.7142 0.2858 0.6449
Pb 0.3779 0.6221 0.7989
Pb 0.3890 0.6110 0.4454
Pb 0.6110 0.3890 0.9454
Pb 0.6221 0.3779 0.2989
S 0.0215 0.9785 0.8564
S 0.1502 0.8498 0.1208
S 0.1730 0.8270 0.4458
S 0.2136 0.7864 0.7547
S 0.4796 0.5204 0.0828
S 0.5204 0.4796 0.5828
S 0.7864 0.2136 0.2547
S 0.8270 0.1730 0.9458
S 0.8498 0.1502 0.6208
S 0.9785 0.0215 0.3564

Computed properties:
* magnetization: 0.000 μB/atom
* raw formation energy: -451 meV per atom
* space group: No. 36
* E: -77.99 eV/cell

Density functional theory data (PBE) for crystalline TiAlPb2S5 at its relaxed geometry.

Cell: 8.7669 8.7669 12.7863 Å, 90.00 90.00 155.47°
Element x y z (fractional)
Ti 0.2060 0.7940 0.5000
Ti 0.7940 0.2060 0.0000
Al 0.4385 0.5615 0.9018
Al 0.5615 0.4385 0.4018
Pb 0.1229 0.8771 0.1362
Pb 0.1282 0.8718 0.7867
Pb 0.8718 0.1282 0.2867
Pb 0.8771 0.1229 0.6362
S 0.0483 0.9517 0.5048
S 0.2915 0.7085 0.1302
S 0.3094 0.6906 0.8640
S 0.3465 0.6535 0.4764
S 0.4967 0.5033 0.2507
S 0.5033 0.4967 0.7507
S 0.6535 0.3465 0.9764
S 0.6906 0.3094 0.3640
S 0.7085 0.2915 0.6302
S 0.9517 0.0483 0.0048

Computed properties:
* magnetization: 0.109 μB/atom
* raw formation energy: -879 meV per atom
* space group: No. 36
* E: -95.20 eV/cell

Density functional theory data (PBE) for crystalline TmAlPbS4 at its relaxed geometry.

Cell: 6.4977 6.6736 7.9656 Å, 90.00 106.84 90.00°
Element x y z (fractional)
Tm 0.2180 0.2500 0.0539
Tm 0.7820 0.7500 0.9461
Al 0.2421 0.7500 0.8210
Al 0.7579 0.2500 0.1790
Pb 0.2531 0.2500 0.5665
Pb 0.7469 0.7500 0.4335
S 0.0033 0.0032 0.7770
S 0.0033 0.4968 0.7770
S 0.4483 0.7500 0.6419
S 0.4575 0.7500 0.0951
S 0.5425 0.2500 0.9049
S 0.5517 0.2500 0.3581
S 0.9967 0.5032 0.2230
S 0.9967 0.9968 0.2230

Computed properties:
* magnetization: 0.000 μB/atom
* raw formation energy: -1211 meV per atom
* space group: No. 11
* E: -73.81 eV/cell

Density functional theory data (PBE) for crystalline YAlPb2S5 at its relaxed geometry.

Cell: 9.0723 9.0723 12.8412 Å, 90.00 90.00 155.08°
Element x y z (fractional)
Y 0.1990 0.8010 0.5000
Y 0.8010 0.1990 0.0000
Al 0.4460 0.5540 0.8951
Al 0.5540 0.4460 0.3951
Pb 0.1214 0.8786 0.7970
Pb 0.1309 0.8691 0.1403
Pb 0.8691 0.1309 0.6403
Pb 0.8786 0.1214 0.2970
S 0.0379 0.9621 0.4925
S 0.2952 0.7048 0.1469
S 0.3211 0.6789 0.8518
S 0.3507 0.6493 0.4856
S 0.4899 0.5101 0.2463
S 0.5101 0.4899 0.7463
S 0.6493 0.3507 0.9856
S 0.6789 0.3211 0.3518
S 0.7048 0.2952 0.6469
S 0.9621 0.0379 0.9925

Computed properties:
* magnetization: 0.000 μB/atom
* raw formation energy: -1114 meV per atom
* space group: No. 36
* E: -96.58 eV/cell

Density functional theory data (PBE) for crystalline YAlPbS4 at its relaxed geometry.

Cell: 6.5491 6.6711 7.9931 Å, 90.00 106.93 90.00°
Element x y z (fractional)
Y 0.2211 0.2500 0.0552
Y 0.7789 0.7500 0.9448
Al 0.2403 0.7500 0.8173
Al 0.7597 0.2500 0.1827
Pb 0.2546 0.2500 0.5681
Pb 0.7454 0.7500 0.4319
S 0.0042 0.0037 0.7721
S 0.0042 0.4963 0.7721
S 0.4440 0.7500 0.6381
S 0.4490 0.7500 0.0935
S 0.5510 0.2500 0.9065
S 0.5560 0.2500 0.3619
S 0.9958 0.5037 0.2279
S 0.9958 0.9963 0.2279

Computed properties:
* magnetization: 0.000 μB/atom
* raw formation energy: -1225 meV per atom
* space group: No. 11
* E: -78.00 eV/cell

Density functional theory data (PBE) for crystalline AlSbPb4 at its relaxed geometry.

Cell: 6.4608 6.4608 6.4608 Å, 60.00 60.00 60.00°
Element x y z (fractional)
Al 0.0000 0.0000 0.0000
Sb 0.2500 0.2500 0.2500
Pb 0.1240 0.6253 0.6253
Pb 0.6253 0.1240 0.6253
Pb 0.6253 0.6253 0.1240
Pb 0.6253 0.6253 0.6253

Computed properties:
* magnetization: 0.000 μB/atom
* raw formation energy: 386 meV per atom
* space group: No. 216
* E: -20.38 eV/cell

Density functional theory data (PBE) for crystalline AlSb2Pb2 at its relaxed geometry.

Cell: 8.0405 8.0405 4.6269 Å, 90.00 90.00 90.00°
Element x y z (fractional)
Al 0.0000 0.0000 0.0000
Al 0.5000 0.5000 0.0000
Sb 0.1700 0.3300 0.0000
Sb 0.3300 0.8300 0.0000
Sb 0.6700 0.1700 0.0000
Sb 0.8300 0.6700 0.0000
Pb 0.1469 0.6469 0.5000
Pb 0.3531 0.1469 0.5000
Pb 0.6469 0.8531 0.5000
Pb 0.8531 0.3531 0.5000

Computed properties:
* magnetization: 0.000 μB/atom
* raw formation energy: 201 meV per atom
* space group: No. 127
* E: -36.80 eV/cell

Density functional theory data (PBE) for crystalline AlSbPb2 at its relaxed geometry.

Cell: 11.2892 11.2892 11.2892 Å, 17.41 17.41 17.41°
Element x y z (fractional)
Al 0.0000 0.0000 0.0000
Sb 0.2690 0.2690 0.2690
Pb 0.5069 0.5069 0.5069
Pb 0.7411 0.7411 0.7411

Computed properties:
* polymorph energy (0 for the lowest one): 34 meV/atom
* magnetization: 0.000 μB/atom
* raw formation energy: 159 meV per atom
* space group: No. 160
* E: -14.64 eV/cell

Density functional theory data (PBE) for crystalline AlSbPb2 at its relaxed geometry.

Cell: 5.6612 5.6612 6.3390 Å, 98.28 98.28 34.01°
Element x y z (fractional)
Al 0.0000 0.0000 0.0000
Sb 0.5000 0.5000 0.5000
Pb 0.2596 0.2596 0.7630
Pb 0.7404 0.7404 0.2370

Computed properties:
* polymorph energy (0 for the lowest one): 87 meV/atom
* magnetization: 0.000 μB/atom
* raw formation energy: 212 meV per atom
* space group: No. 12
* E: -14.43 eV/cell

Density functional theory data (PBE) for crystalline AlSbPb2 at its relaxed geometry.

Cell: 3.3063 3.3063 10.1232 Å, 90.00 90.00 95.02°
Element x y z (fractional)
Al 0.0000 0.0000 0.0000
Sb 0.0000 0.0000 0.5000
Pb 0.5000 0.5000 0.2227
Pb 0.5000 0.5000 0.7773

Computed properties:
* polymorph energy (0 for the lowest one): 74 meV/atom
* magnetization: 0.000 μB/atom
* raw formation energy: 200 meV per atom
* space group: No. 65
* E: -14.48 eV/cell

Density functional theory data (PBE) for crystalline Al3SbPb at its relaxed geometry.

Cell: 5.3152 5.3152 5.3152 Å, 90.00 90.00 90.00°
Element x y z (fractional)
Al 0.0000 0.0000 0.5000
Al 0.0000 0.5000 0.0000
Al 0.5000 0.0000 0.0000
Sb 0.0000 0.0000 0.0000
Pb 0.5000 0.5000 0.5000

Computed properties:
* polymorph energy (0 for the lowest one): 0 meV/atom
* magnetization: 0.000 μB/atom
* raw formation energy: 735 meV per atom
* space group: No. 221
* E: -15.38 eV/cell